5
Lattice="-1.993 1.993 5.270 1.993 -1.993 5.270 1.993 1.993 -5.270" Properties=species:S:1:pos:R:3 comment="YVSi2Os (GGA-PBE, relaxed)" dos_at_fermi_per_ev_atom=0.71 sg=I-4m2 formation_energy_uncorrected_ev_per_atom=-0.6606 crystal_system=tetragonal pbc="T T T"
Y 0.000 0.000 0.000
V 0.000 1.993 2.635
Si 0.000 0.000 4.051
Si 0.000 0.000 6.489
Os 1.993 0.000 2.635

---

9
Lattice="5.733 0.000 0.000 0.000 5.733 0.000 0.000 0.000 12.218" Properties=species:S:1:pos:R:3 comment="LaPr2ThBi5 (GGA-PBE, relaxed)" formation_energy_mev_per_atom=-47 dos_at_fermi_per_ev_atom=0.71 sg=P4/mmm crystal_system=tetragonal pbc="T T T"
La 0.000 0.000 0.000
Pr 2.866 2.866 3.337
Pr 2.866 2.866 8.880
Th 0.000 0.000 6.109
Bi 0.000 0.000 3.018
Bi 0.000 0.000 9.200
Bi 0.000 2.866 6.109
Bi 2.866 0.000 6.109
Bi 2.866 2.866 0.000